A relaxed SrBeCuSi2 crystal. Source: Alexandria, functional GGA-PBE.

a = 4.107 Å, b = 4.107 Å, c = 5.792 Å
α = 110.76°, β = 110.76°, γ = 90.00°
Atoms (fractional coordinates):
Sr  0.000  0.000  0.000
Be  0.750  0.250  0.500
Cu  0.250  0.750  0.500
Si  0.624  0.624  0.247
Si  0.376  0.376  0.753

Total DFT energy (no corrections) (Ry/atom): -0.3199
Crystal system: tetragonal
ΔE_f (raw) (eV/atom): -0.28
Mass density (Mg/m³): 4.3